[1]
Here is a geometry-optimized Cs5K structure from Alexandria. Energies are from GGA-PBE.

Calculated values
The calculated volume is 1290.9 Å³/cell. As for the formation energy: 0.01 eV/atom. The energy above the most stable polymorph in this dataset is 1.5 meV per atom.

a b c (Å): 8.5473 25.6769 5.8819
angles (deg): 90.00 90.00 90.00
With the nearest neighbours (Å) after each atom.
Space group Cmmm (No. 65)
Inequivalent atoms, fractional coordinates:
Cs1 0.0000 0.0000 0.0000  4 K 5.19, 4 Cs 5.31
Cs2 0.0000 0.1724 0.5000  8 Cs 5.21-5.34
Cs3 0.0000 0.3461 0.0000  2 K 4.93, 6 Cs 5.21-5.34
K1 0.0000 0.5000 0.5000  8 Cs 4.93-5.19

[2]
Here is a geometry-optimized BaCuOs2 structure from Alexandria. Energies are from GGA-PBE.

Calculated values
The calculated volume is 408.6 Å³/cell. As for the formation energy: 0.89 eV/atom. The energy above the most stable polymorph in this dataset is 683.7 meV per atom.

a b c (Å): 4.7951 4.7951 17.7720
angles (deg): 90.00 90.00 90.00
With the nearest neighbours (Å) after each atom.
Space group I-42d (No. 122)
Inequivalent atoms, fractional coordinates:
Ba1 0.0000 0.0000 0.0000  4 Cu 3.39, 8 Os 3.43-3.54
Cu1 0.0000 0.0000 0.5000  4 Os 2.53
Os1 0.0161 0.7500 0.6250  2 Os 2.40, 2 Cu 2.53

[3]
Here is a geometry-optimized Li2Tl3Br4Cl2 structure from Alexandria. Energies are from GGA-PBE.

Calculated values
The calculated volume is 661.1 Å³/cell. The calculation puts the uncorrected formation energy at -1020.6 meV/atom.

a b c (Å): 5.1323 5.1323 25.0978
angles (deg): 90.00 90.00 90.00
With the nearest neighbours (Å) after each atom.
Space group I4/mmm (No. 139)
Inequivalent atoms, fractional coordinates:
Li1 0.0000 0.0000 0.1049  1 Cl 2.34
Tl1 0.0000 0.0000 0.3182  1 Cl 3.02
Tl2 0.0000 0.0000 0.5000  8 Br 3.19
Br1 0.0000 0.5000 0.0756  2 Li 2.67
Cl1 0.0000 0.0000 0.1980  1 Li 2.34

[4]
Here is a geometry-optimized CeTh4C5 structure from Alexandria. Energies are from GGA-PBE.

Calculated values
The calculated volume is 376.3 Å³/cell. As for the formation energy: -0.23 eV/atom.

a b c (Å): 8.4025 8.4025 5.3305
angles (deg): 90.00 90.00 90.00
With the nearest neighbours (Å) after each atom.
Space group I4/m (No. 87)
Inequivalent atoms, fractional coordinates:
Ce1 0.0000 0.0000 0.0000  6 C 2.63-2.67
Th1 0.1006 0.2992 0.5000  6 C 2.65-2.69
C1 0.0000 0.0000 0.5000  4 Th 2.65, 2 Ce 2.67
C2 0.0985 0.2975 0.0000  1 Ce 2.63, 5 Th 2.66-2.69

[5]
Here is a geometry-optimized SrPr5Mg4 structure from Alexandria. Energies are from GGA-PBE.

Calculated values
The calculated volume is 328.2 Å³/cell. As for the formation energy: -0.06 eV/atom.

a b c (Å): 3.9400 3.9400 21.1414
angles (deg): 90.00 90.00 90.00
With the nearest neighbours (Å) after each atom.
Space group P4/mmm (No. 123)
Inequivalent atoms, fractional coordinates:
Sr1 0.0000 0.0000 0.0000  4 Sr 3.94, 8 Pr 4.02
Pr1 0.5000 0.5000 0.1369  4 Mg 3.37
Pr2 0.5000 0.5000 0.3158  8 Mg 3.37-3.39
Pr3 0.5000 0.5000 0.5000  8 Mg 3.41
Mg1 0.0000 0.0000 0.2264  8 Pr 3.37
Mg2 0.0000 0.0000 0.4072  8 Pr 3.39-3.41

[6]
Here is a geometry-optimized Ce2Sn4Hg structure from Alexandria. Energies are from GGA-PBE.

Calculated values
The calculated volume is 398.7 Å³/cell. As for the formation energy: -0.44 eV/atom.

a b c (Å): 9.2625 9.3211 4.6177
angles (deg): 90.00 90.00 90.00
With the nearest neighbours (Å) after each atom.
Space group Cmmm (No. 65)
Inequivalent atoms, fractional coordinates:
Ce1 0.0000 0.2472 0.0000  8 Sn 3.22-3.35, 2 Hg 3.30
Sn1 0.2436 0.0000 0.0000  4 Ce 3.22-3.35, 4 Sn 3.28, 2 Hg 3.31
Sn2 0.2500 0.2500 0.5000  4 Ce 3.27, 4 Sn 3.28, 2 Hg 3.29
Hg1 0.0000 0.5000 0.5000  8 Sn 3.29-3.31, 4 Ce 3.30

[7]
Here is a geometry-optimized V2Pd6Au3 structure from Alexandria. Energies are from GGA-PBE.

Calculated values
The calculated volume is 733.4 Å³/cell. As for the formation energy: 0.00 eV/atom.

a b c (Å): 8.4526 4.8770 17.7908
angles (deg): 90.00 90.08 90.00
With the nearest neighbours (Å) after each atom.
Space group C2/c (No. 15)
Inequivalent atoms, fractional coordinates:
V1 0.1667 0.9996 0.0000  6 Pd 2.56-2.57, 3 V 2.81-2.82
Pd1 0.0000 0.1710 0.1109  2 V 2.56-2.57, 6 Pd 2.78-2.84
Pd2 0.1645 0.3357 0.6108  2 V 2.56, 6 Pd 2.78-2.84
Pd3 0.1645 0.3356 0.8891  2 V 2.56, 6 Pd 2.78-2.84
Au1 0.0000 0.1672 0.7500  6 Au 2.81-2.82, 6 Pd 2.95-2.97
Au2 0.1669 0.3320 0.2500  6 Au 2.81-2.82, 6 Pd 2.95-2.97

[8]
Here is a geometry-optimized Na2CdO2 structure from Alexandria. Energies are from GGA-PBE.

Calculated values
The calculated volume is 1285.1 Å³/cell. The calculation puts the uncorrected formation energy at -1178.5 meV/atom.

a b c (Å): 15.4013 10.8012 10.8826
angles (deg): 90.00 134.78 90.00
With the nearest neighbours (Å) after each atom.
Space group C2 (No. 5)
Inequivalent atoms, fractional coordinates:
Na1 0.0910 0.0000 0.4779  3 O 2.25-2.40
Na2 0.0963 0.4885 0.7001  4 O 2.32-2.44
Na3 0.1275 0.2207 0.7779  4 O 2.29-2.43
Na4 0.1325 0.7212 0.4737  3 O 2.26-2.37
Na5 0.1359 0.0127 0.9841  4 O 2.34-2.42
Na6 0.1365 0.9573 0.2552  4 O 2.28-2.47
Na7 0.1392 0.2640 0.5272  4 O 2.31-2.48
Na8 0.1406 0.5128 0.2967  4 O 2.26-2.48
Cd1 0.0971 0.2298 0.2138  4 O 2.21-2.39
Cd2 0.1019 0.7426 0.9998  4 O 2.16-2.37
Cd3 0.1328 0.7658 0.7491  4 O 2.24-2.34
Cd4 0.1365 0.4582 0.0130  4 O 2.20-2.45
O1 0.0000 0.0950 0.0000  2 Cd 2.21, 2 Na 2.39
O2 0.0000 0.1485 0.5000  6 Na 2.25-2.31
O3 0.0000 0.5878 0.0000  4 Cd 2.29-2.45, 2 Na 2.43
O4 0.0000 0.6528 0.5000  2 Cd 2.28, 4 Na 2.35-2.37
O5 0.0012 0.3670 0.2405  2 Cd 2.20-2.25, 3 Na 2.37-2.43
O6 0.0077 0.8581 0.7586  2 Cd 2.24-2.28, 4 Na 2.36-2.42
O7 0.2046 0.6155 0.9583  3 Cd 2.28-2.37, 3 Na 2.34-2.44
O8 0.2096 0.1166 0.4540  1 Cd 2.22, 5 Na 2.26-2.38
O9 0.2439 0.3613 0.2633  3 Cd 2.22-2.39, 1 Na 2.48
O10 0.2448 0.8634 0.2100  1 Cd 2.16, 4 Na 2.28-2.38

[9]
Here is a geometry-optimized ScMoAu structure from Alexandria. Energies are from GGA-PBE.

Calculated values
The calculated volume is 107.4 Å³/cell. As for the formation energy: -0.07 eV/atom. The energy above the most stable polymorph in this dataset is 0.0 meV per atom.

a b c (Å): 2.8513 2.8513 13.2137
angles (deg): 90.00 90.00 90.00
With the nearest neighbours (Å) after each atom.
Space group I4mm (No. 107)
Inequivalent atoms, fractional coordinates:
Sc1 0.0000 0.0000 0.0000  4 Sc 2.85, 4 Mo 2.99, 4 Au 3.03
Mo1 0.0000 0.0000 0.3327  4 Mo 2.85, 4 Au 2.94, 4 Sc 2.99
Au1 0.0000 0.0000 0.6711  4 Au 2.85, 4 Mo 2.94, 4 Sc 3.03

[10]
Here is a geometry-optimized La6Ag5Os structure from Alexandria. Energies are from GGA-PBE.

Calculated values
The calculated volume is 645.9 Å³/cell. As for the formation energy: -0.24 eV/atom.

a b c (Å): 5.2945 7.6282 15.9933
angles (deg): 90.00 90.00 90.00
With the nearest neighbours (Å) after each atom.
Space group Immm (No. 71)
Inequivalent atoms, fractional coordinates:
La1 0.0000 0.2244 0.0000  2 Os 3.15, 6 Ag 3.38-3.45, 1 La 3.42
La2 0.0000 0.2652 0.3462  1 Os 3.04, 7 Ag 3.18-3.34
Ag1 0.0000 0.0000 0.1874  8 La 3.24-3.45, 2 Ag 3.50
Ag2 0.0000 0.0000 0.5000  8 La 3.18-3.38
Ag3 0.0000 0.5000 0.1699  8 La 3.34-3.44, 2 Ag 3.50
Os1 0.0000 0.5000 0.5000  8 La 3.04-3.15

[11]
Here is a geometry-optimized Cs2In2Pt3 structure from Alexandria. Energies are from GGA-PBE.

Calculated values
The calculated volume is 440.3 Å³/cell. As for the formation energy: -0.29 eV/atom.

a b c (Å): 14.0032 4.5322 9.1577
angles (deg): 90.00 130.74 90.00
With the nearest neighbours (Å) after each atom.
Space group C2/m (No. 12)
Inequivalent atoms, fractional coordinates:
Cs1 0.1724 0.0000 0.0902  3 Pt 3.45-3.77, 1 In 3.66
In1 0.0560 0.5000 0.3921  5 Pt 2.71-2.92
Pt1 0.0000 0.0000 0.5000  2 Pt 2.78, 4 In 2.78
Pt2 0.1920 0.0000 0.4856  3 Pt 2.70-2.78, 3 In 2.71-2.92

[12]
Here is a geometry-optimized Tl2Cd2I structure from Alexandria. Energies are from GGA-PBE.

Calculated values
The calculated volume is 331.9 Å³/cell. The calculation puts the uncorrected formation energy at -92.0 meV/atom. The energy above the most stable polymorph in this dataset is 0.0 meV per atom.

a b c (Å): 4.3590 4.3590 17.4658
angles (deg): 90.00 90.00 90.00
With the nearest neighbours (Å) after each atom.
Space group I4/mmm (No. 139)
Inequivalent atoms, fractional coordinates:
Tl1 0.0000 0.0000 0.1017  4 Cd 3.39, 1 Tl 3.55, 4 I 3.56
Cd1 0.0000 0.5000 0.2500  4 Cd 3.08, 4 Tl 3.39
I1 0.0000 0.0000 0.5000  8 Tl 3.56